Entry from the Open Quantum Materials Database: a geometry-optimized TeAuO3 structure (PBE).

The structure in CIF format:
```
data_TeAuO3
_chemical_formula_sum 'Te4 Au4 O12'
_space_group_name_H-M_alt 'P n m a'
_space_group_IT_number 62
_space_group_name_Hall '-P 2ac 2n'
_cell_length_a 5.773
_cell_length_b 8.096
_cell_length_c 5.691
_cell_angle_alpha 90.00
_cell_angle_beta 90.00
_cell_angle_gamma 90.00
loop_
_atom_site_label
_atom_site_type_symbol
_atom_site_fract_x
_atom_site_fract_y
_atom_site_fract_z
Te1 Te 0.000 0.000 0.000
Au1 Au 0.021 0.250 0.481
O1 O 0.017 0.250 0.087
O2 O 0.194 0.049 0.696
```

Computed properties:
The crystal system is orthorhombic. For the energy, the calculation gives -4.5632 eV/atom.